# 1
An optimized crystal structure of Rb3GaSb. Source: Alexandria, functional GGA-PBE.

Unit cell a=8.9599 b=8.9599 c=8.9599 alpha=97.60 beta=118.69 gamma=112.80
With the nearest neighbours (Å) after each atom.
Atoms (fractional coordinates):
Rb  0.2045  0.5239  0.1806  2 Sb 3.68-3.77, 2 Ga 3.73-4.05
Rb  0.2356  0.0280  0.2636  2 Sb 3.77-3.85, 1 Ga 3.90
Rb  0.2356  0.4720  0.7076  2 Sb 3.77-3.85, 1 Ga 3.90
Rb  0.3434  0.0239  0.8194  2 Sb 3.68-3.77, 2 Ga 3.73-4.05
Rb  0.7644  0.5280  0.2924  2 Sb 3.77-3.85, 1 Ga 3.90
Rb  0.7644  0.9720  0.7364  2 Sb 3.77-3.85, 1 Ga 3.90
Ga  0.6355  0.8957  0.2399  1 Sb 2.57
Ga  0.6558  0.3957  0.7601  1 Sb 2.57
Sb  0.8612  0.1534  0.2078  1 Ga 2.57
Sb  0.9456  0.6534  0.7922  1 Ga 2.57

---

# 2
An optimized crystal structure of Rb3Ga2Sb5. Source: Alexandria, functional GGA-PBE.

Unit cell a=10.8590 b=10.8590 c=10.8590 alpha=123.02 beta=73.89 gamma=137.10
With the nearest neighbours (Å) after each atom.
Atoms (fractional coordinates):
Rb  0.1415  0.7410  0.8825  7 Sb 3.62-4.03, 2 Ga 3.79-3.92
Rb  0.2500  0.2500  0.0000  4 Ga 3.42
Rb  0.3585  0.2410  0.5995  7 Sb 3.62-4.03, 2 Ga 3.79-3.92
Rb  0.6415  0.7590  0.4005  7 Sb 3.62-4.03, 2 Ga 3.79-3.92
Rb  0.7500  0.7500  0.0000  4 Ga 3.42
Rb  0.8585  0.2590  0.1175  7 Sb 3.62-4.03, 2 Ga 3.79-3.92
Ga  0.1475  0.1067  0.2542  3 Sb 2.84-2.97
Ga  0.3525  0.6067  0.9593  3 Sb 2.84-2.97
Ga  0.6475  0.3933  0.0407  3 Sb 2.84-2.97
Ga  0.8525  0.8933  0.7458  3 Sb 2.84-2.97
Sb  0.0045  0.2500  0.7545  2 Ga 2.84, 2 Sb 3.13
Sb  0.1312  0.3921  0.5233  1 Ga 2.97, 4 Sb 3.13-3.22
Sb  0.2500  0.7500  0.5000  4 Sb 3.22
Sb  0.3688  0.8921  0.2609  1 Ga 2.97, 4 Sb 3.13-3.22
Sb  0.4955  0.2500  0.2455  2 Ga 2.84, 2 Sb 3.13
Sb  0.5045  0.7500  0.7545  2 Ga 2.84, 2 Sb 3.13
Sb  0.6312  0.1079  0.7391  1 Ga 2.97, 4 Sb 3.13-3.22
Sb  0.7500  0.2500  0.5000  4 Sb 3.22
Sb  0.8688  0.6079  0.4767  1 Ga 2.97, 4 Sb 3.13-3.22
Sb  0.9955  0.7500  0.2455  2 Ga 2.84, 2 Sb 3.13

---

| no. | E_form (uncorrected) (eV/atom) | calculated volume (Å³ per atom) |
| --- | --- | --- |
| 1 | -0.1392 | 53.47 |
| 2 | -0.1256 | 35.70 |